Record 1
VASP calculation (PBE) on an optimized crystal structure of BaPb4.

Lattice parameters (Å, degrees): 7.972 7.969 5.154 71.17 71.10 37.73
Element x y z (fractional)
Ba 0.000 0.000 0.000
Pb 0.250 0.250 0.250
Pb 0.392 0.392 0.608
Pb 0.608 0.608 0.392
Pb 0.750 0.750 0.750

- energy above the lowest structure with this stoichiometry (eV per atom) = 0.000
- formation energy (eV/atom) = -0.2482
- density (g/cm3) = 8.5
- Fermi-level density of states (states/eV per cell) = 2.014
- magnetization (μB per cell) = 0.000

Record 2
VASP calculation (PBE) on an optimized crystal structure of RbNb2SnPt.

Lattice parameters (Å, degrees): 4.768 4.768 5.515 90.00 90.00 90.00
Element x y z (fractional)
Rb 0.000 0.000 0.000
Nb 0.000 0.500 0.000
Nb 0.500 0.000 0.000
Sn 0.000 0.000 0.500
Pt 0.500 0.500 0.500

- formation energy (eV/atom) = 2.6638
- density (g/cm3) = 7.7
- Fermi-level density of states (states/eV per cell) = 7.990
- magnetization (μB per cell) = 0.001

Record 3
VASP calculation (PBE) on an optimized crystal structure of Nd2ZnGa7.

Lattice parameters (Å, degrees): 4.318 4.318 10.793 90.00 90.00 90.00
Element x y z (fractional)
Nd 0.000 0.500 0.247
Nd 0.500 0.000 0.753
Zn 0.500 0.500 0.000
Ga 0.000 0.000 0.000
Ga 0.000 0.000 0.500
Ga 0.000 0.500 0.638
Ga 0.000 0.500 0.868
Ga 0.500 0.000 0.132
Ga 0.500 0.000 0.362
Ga 0.500 0.500 0.500

- formation energy (eV/atom) = -0.4374
- density (g/cm3) = 6.9
- Fermi-level density of states (states/eV per cell) = 4.626
- magnetization (μB per cell) = 0.000

Record 4
VASP calculation (PBE) on an optimized crystal structure of CeDy12Tm7.

Lattice parameters (Å, degrees): 8.670 8.670 8.670 98.35 98.35 98.35
Element x y z (fractional)
Ce 0.000 0.000 0.000
Dy 0.090 0.359 0.359
Dy 0.238 0.500 0.762
Dy 0.238 0.762 0.500
Dy 0.359 0.090 0.359
Dy 0.359 0.359 0.090
Dy 0.500 0.238 0.762
Dy 0.500 0.762 0.238
Dy 0.641 0.641 0.910
Dy 0.641 0.910 0.641
Dy 0.762 0.238 0.500
Dy 0.762 0.500 0.238
Dy 0.910 0.641 0.641
Tm 0.104 0.104 0.661
Tm 0.104 0.661 0.104
Tm 0.339 0.896 0.896
Tm 0.500 0.500 0.500
Tm 0.661 0.104 0.104
Tm 0.896 0.339 0.896
Tm 0.896 0.896 0.339

- energy above the lowest structure with this stoichiometry (eV per atom) = 0.000
- formation energy (eV/atom) = 0.1118
- density (g/cm3) = 8.6
- Fermi-level density of states (states/eV per cell) = 37.680
- magnetization (μB per cell) = 5.414

Record 5
VASP calculation (PBE) on an optimized crystal structure of Tb2Nd3Sm5.

Lattice parameters (Å, degrees): 10.047 10.047 10.047 123.59 93.27 112.94
Element x y z (fractional)
Tb 0.127 0.090 0.217
Tb 0.373 0.590 0.964
Tb 0.627 0.410 0.036
Tb 0.873 0.910 0.783
Nd 0.126 0.750 0.875
Nd 0.250 0.250 0.000
Nd 0.374 0.250 0.624
Nd 0.626 0.750 0.376
Nd 0.750 0.750 0.000
Nd 0.874 0.250 0.125
Sm 0.001 0.750 0.251
Sm 0.123 0.402 0.525
Sm 0.250 0.750 0.500
Sm 0.377 0.902 0.279
Sm 0.499 0.750 0.749
Sm 0.501 0.250 0.251
Sm 0.623 0.098 0.721
Sm 0.750 0.250 0.500
Sm 0.877 0.598 0.475
Sm 0.999 0.250 0.749

- energy above the lowest structure with this stoichiometry (eV per atom) = 0.181
- formation energy (eV/atom) = 0.3652
- density (g/cm3) = 6.9
- Fermi-level density of states (states/eV per cell) = 30.005
- magnetization (μB per cell) = 0.000

Record 6
VASP calculation (PBE) on an optimized crystal structure of Zr2Zn.

Lattice parameters (Å, degrees): 5.701 5.701 7.563 110.11 110.11 32.38
Element x y z (fractional)
Zr 0.000 0.000 0.000
Zr 0.000 0.000 0.452
Zr 0.322 0.322 0.669
Zr 0.704 0.704 0.301
Zn 0.303 0.303 0.069
Zn 0.638 0.638 0.801

- formation energy (eV/atom) = -0.0529
- density (g/cm3) = 6.7
- Fermi-level density of states (states/eV per cell) = 6.730
- magnetization (μB per cell) = 0.000

Record 7
VASP calculation (PBE) on an optimized crystal structure of NaCa3Nd3Se8.

Lattice parameters (Å, degrees): 8.430 8.430 8.430 60.12 60.12 60.12
Element x y z (fractional)
Na 0.000 0.000 0.000
Ca 0.000 0.000 0.500
Ca 0.000 0.500 0.000
Ca 0.500 0.000 0.000
Nd 0.000 0.500 0.500
Nd 0.500 0.000 0.500
Nd 0.500 0.500 0.000
Se 0.249 0.249 0.249
Se 0.251 0.251 0.745
Se 0.251 0.745 0.251
Se 0.255 0.749 0.749
Se 0.745 0.251 0.251
Se 0.749 0.255 0.749
Se 0.749 0.749 0.255
Se 0.751 0.751 0.751

- density (g/cm3) = 4.7
- ΔE_f (raw) (meV/atom) = -1797
- magnetization (μB per cell) = 0.000

Record 8
VASP calculation (PBE) on an optimized crystal structure of DyCdAu2.

Lattice parameters (Å, degrees): 4.935 4.935 4.935 60.00 60.00 60.00
Element x y z (fractional)
Dy 0.000 0.000 0.000
Cd 0.500 0.500 0.500
Au 0.250 0.250 0.250
Au 0.750 0.750 0.750

- formation energy (eV/atom) = -0.6660
- density (g/cm3) = 13.1
- Fermi-level density of states (states/eV per cell) = 3.226
- magnetization (μB per cell) = 0.000

Record 9
VASP calculation (PBE) on an optimized crystal structure of Cr2FeRe.

Lattice parameters (Å, degrees): 2.560 2.560 8.126 90.00 90.00 108.66
Element x y z (fractional)
Cr 0.000 0.000 0.239
Cr 0.000 0.000 0.761
Fe 0.500 0.500 0.000
Re 0.500 0.500 0.500

- energy above the lowest structure with this stoichiometry (eV per atom) = 0.043
- formation energy (eV/atom) = 0.1205
- density (g/cm3) = 11.4
- Fermi-level density of states (states/eV per cell) = 3.664
- magnetization (μB per cell) = 2.023

Record 10
VASP calculation (PBE) on an optimized crystal structure of Np2SnGe2N2.

Lattice parameters (Å, degrees): 3.661 3.661 12.879 90.00 90.00 120.00
Element x y z (fractional)
Np 0.333 0.667 0.111
Np 0.667 0.333 0.889
Sn 0.000 0.000 0.500
Ge 0.000 0.000 0.288
Ge 0.000 0.000 0.712
N 0.333 0.667 0.932
N 0.667 0.333 0.068

- density (g/cm3) = 8.5
- ΔE_f (raw) (meV/atom) = -390
- Fermi-level density of states (states/eV per cell) = 12.857
- magnetization (μB per cell) = 6.382

Record 11
VASP calculation (PBE) on an optimized crystal structure of Pm2GaHg2.

Lattice parameters (Å, degrees): 6.096 6.096 11.318 114.43 114.43 43.50
Element x y z (fractional)
Pm 0.009 0.009 0.337
Pm 0.186 0.186 0.108
Pm 0.814 0.814 0.892
Pm 0.991 0.991 0.663
Ga 0.285 0.285 0.675
Ga 0.715 0.715 0.325
Hg 0.349 0.349 0.443
Hg 0.464 0.464 0.115
Hg 0.536 0.536 0.885
Hg 0.651 0.651 0.557

- energy above the lowest structure with this stoichiometry (eV per atom) = 0.000
- formation energy (eV/atom) = -0.4756
- density (g/cm3) = 9.7
- Fermi-level density of states (states/eV per cell) = 8.126
- magnetization (μB per cell) = 0.000

Record 12
VASP calculation (PBE) on an optimized crystal structure of MgZr3C.

Lattice parameters (Å, degrees): 6.433 6.433 9.338 90.00 90.00 149.64
Element x y z (fractional)
Mg 0.245 0.755 0.750
Mg 0.755 0.245 0.250
Zr 0.121 0.879 0.036
Zr 0.121 0.879 0.464
Zr 0.469 0.531 0.250
Zr 0.531 0.469 0.750
Zr 0.879 0.121 0.536
Zr 0.879 0.121 0.964
C 0.500 0.500 0.000
C 0.500 0.500 0.500

- energy above the lowest structure with this stoichiometry (eV per atom) = 0.009
- formation energy (eV/atom) = -0.3230
- density (g/cm3) = 5.3
- Fermi-level density of states (states/eV per cell) = 8.848
- magnetization (μB per cell) = 0.000

Calculated total energy? In order: -0.265, -0.262, -0.267, -0.332, -0.320, -0.454, -0.375, -0.271, -0.729, -0.614, -0.228, -0.560 Ry/atom.